VASP calculation (PBE) on a relaxed ErIn4Br7 crystal.

Structure (extended XYZ):
```
12
Lattice="5.1988 0.0000 -1.6979 -1.3398 6.5962 -4.1024 0.8679 1.8479 11.4657" Properties=species:S:1:pos:R:3 pbc="T T T"
Er 0.0000 0.0000 0.0000
In 2.2720 4.6408 6.9568
In 2.4549 3.8032 -1.2914
In 0.9707 6.8918 2.9723
In 3.7562 1.5523 2.6931
Br 0.3130 2.5943 0.9585
Br 4.4139 5.8497 4.7069
Br 5.2566 2.7843 7.2874
Br -0.5297 5.6598 -1.6220
Br 3.0944 5.9596 0.6668
Br 2.5994 0.0000 -0.8489
Br 1.6325 2.4844 4.9986
```

Summary:
space group = C2/m, No. 12
DFT total energy = -3.308 eV per atom
energy relative to the elements, uncorrected = -1.04 eV/atom

VASP calculation (PBE) on a relaxed ZnTcCl2 crystal.

Structure (extended XYZ):
```
4
Lattice="4.8929 0.0002 0.0000 0.8479 4.8188 0.0000 -2.8704 -2.4095 3.1457" Properties=species:S:1:pos:R:3 pbc="T T T"
Zn 2.4464 0.0001 1.5728
Tc 0.4240 2.4094 1.5728
Cl 0.0000 0.0000 0.0000
Cl 2.8704 2.4095 0.0000
```

Summary:
space group = I4/mmm, No. 139
DFT total energy = -3.340 eV per atom
excess energy over the best structure of this formula in the dataset = 0.742 eV per atom
energy relative to the elements, uncorrected = 0.49 eV/atom

VASP calculation (PBE) on a relaxed La2Ta crystal.

Structure (extended XYZ):
```
6
Lattice="5.0839 2.0506 -7.2027 -7.3671 -1.0180 5.1594 0.6395 5.2843 1.9559" Properties=species:S:1:pos:R:3 pbc="T T T"
La 1.9783 5.1303 -2.1762
La 4.7579 3.2520 -6.2313
La -6.4016 3.0650 6.1439
La -3.6220 1.1867 2.0887
Ta -2.2345 4.0920 2.0065
Ta 0.5908 2.2250 -2.0940
```

Summary:
ΔE_f = 499 meV/atom
space group = Cmcm, No. 63
DFT total energy = -6.737 eV per atom
excess energy over the best structure of this formula in the dataset = 0.221 eV per atom